(1)
VASP calculation (PBE) on Ce2PuRh3 after structural relaxation.

D(E_F), states/eV per cell: 20.466
Electronic total energy, eV/atom: -8.434
Total magnetization, μB per atom: 1.121
ΔE_f, eV/atom: -0.392

Cell and atoms, written as POSCAR:
```
Ce2PuRh3
1.0
-7.8436 3.4279 -2.1161
-3.3847 -5.6807 3.3434
5.5768 3.3509 3.1282
Ce Pu Rh
4 2 6
Direct
0.2934 0.4975 0.9951
0.7983 0.0025 0.0049
0.2017 0.9975 0.9951
0.7066 0.5025 0.0049
0.7237 0.2500 0.5000
0.2763 0.7500 0.5000
0.0000 0.2794 0.0000
0.0000 0.7206 0.0000
0.0000 0.5000 0.5000
0.5000 0.2206 0.0000
0.5000 0.7794 0.0000
0.0000 0.0000 0.5000
```



(2)
VASP calculation (PBE) on Ce2PuRh after structural relaxation.

D(E_F), states/eV per cell: 3.236
ΔE to the lowest computed polymorph, kJ/mol of atoms: 41.2
Electronic total energy, eV/atom: -8.231
Total magnetization, μB per atom: 0.000
ΔE_f, eV/atom: 0.157

Cell and atoms, written as POSCAR:
```
Ce2PuRh
1.0
-0.4831 3.1898 -1.6608
0.6195 0.3029 -3.5624
-6.7160 -0.5477 -3.0625
Ce Pu Rh
2 1 1
Direct
0.2417 0.2417 0.2749
0.7583 0.7583 0.7251
0.5000 0.5000 0.5000
0.0000 0.0000 0.0000
```



(3)
VASP calculation (PBE) on CePu5Rh5 after structural relaxation.

D(E_F), states/eV per cell: 36.742
Electronic total energy, eV/atom: -10.752
Total magnetization, μB per atom: 2.431
ΔE_f, eV/atom: -0.357

Cell and atoms, written as POSCAR:
```
CePu5Rh5
1.0
5.5382 0.0000 0.0000
-2.7691 6.4614 0.1742
0.0000 -2.1515 7.1854
Pu Rh Ce
5 5 1
Direct
0.3215 0.6430 0.1532
0.3550 0.7100 0.6586
0.6785 0.3570 0.8468
0.6450 0.2900 0.3414
0.0000 0.0000 0.5000
0.1732 0.3464 0.3660
0.8322 0.6644 0.2074
0.8268 0.6536 0.6340
0.5000 0.0000 0.0000
0.1678 0.3356 0.7926
0.0000 0.0000 0.0000
```



(4)
VASP calculation (PBE) on Ce2PuRh after structural relaxation.

D(E_F), states/eV per cell: 15.068
ΔE to the lowest computed polymorph, kJ/mol of atoms: 0.6
Electronic total energy, eV/atom: -8.651
Total magnetization, μB per atom: 1.449
ΔE_f, eV/atom: -0.264

Cell and atoms, written as POSCAR:
```
Ce2PuRh
1.0
-6.1719 -3.1500 -0.5748
-0.7605 -6.1227 -0.3356
-3.1587 -2.3537 4.7622
Ce Rh Pu
4 2 2
Direct
0.6673 0.2409 0.2594
0.3327 0.7591 0.7406
0.1677 0.2591 0.2406
0.8323 0.7409 0.7594
0.2491 0.7500 0.2500
0.7509 0.2500 0.7500
0.7501 0.7500 0.2500
0.2499 0.2500 0.7500
```



(5)
VASP calculation (PBE) on Ce2PuRh after structural relaxation.

D(E_F), states/eV per cell: 8.324
ΔE to the lowest computed polymorph, kJ/mol of atoms: 9.2
Electronic total energy, eV/atom: -8.562
Total magnetization, μB per atom: 1.939
ΔE_f, eV/atom: -0.174

Cell and atoms, written as POSCAR:
```
Ce2PuRh
1.0
3.9162 0.0000 0.0000
1.9581 3.3915 0.0000
1.9581 1.1305 7.7538
Pu Ce Rh
1 2 1
Direct
0.5108 0.5108 0.4676
0.2582 0.2582 0.2255
0.0678 0.0678 0.7965
0.6632 0.6632 0.0104
```



(6)
VASP calculation (PBE) on CePuRh after structural relaxation.

D(E_F), states/eV per cell: 9.765
ΔE to the lowest computed polymorph, kJ/mol of atoms: 12.9
Electronic total energy, eV/atom: -9.487
Total magnetization, μB per atom: 2.253
ΔE_f, eV/atom: -0.281

Cell and atoms, written as POSCAR:
```
CePuRh
1.0
4.8094 0.0000 0.0000
2.4047 4.1651 0.0000
2.4047 1.3884 3.9269
Ce Pu Rh
1 1 1
Direct
0.5000 0.5000 0.5000
0.0000 0.0000 0.0000
0.2500 0.2500 0.2500
```



(7)
VASP calculation (PBE) on CePu4Rh5 after structural relaxation.

D(E_F), states/eV per cell: 38.178
Electronic total energy, eV/atom: -10.130
Total magnetization, μB per atom: 1.078
ΔE_f, eV/atom: -0.128

Cell and atoms, written as POSCAR:
```
CePu4Rh5
1.0
3.3016 0.0000 0.0000
0.0000 3.3016 0.0000
0.0000 0.0000 18.0207
Pu Rh Ce
4 5 1
Direct
0.0000 0.0000 0.4001
0.0000 0.0000 0.7984
0.0000 0.0000 0.5999
0.0000 0.0000 0.2016
0.5000 0.5000 0.2891
0.5000 0.5000 0.5000
0.5000 0.5000 0.8874
0.5000 0.5000 0.7109
0.5000 0.5000 0.1126
0.0000 0.0000 0.0000
```



(8)
VASP calculation (PBE) on CePu5Rh4 after structural relaxation.

D(E_F), states/eV per cell: 33.148
Electronic total energy, eV/atom: -10.964
Total magnetization, μB per atom: 0.432
ΔE_f, eV/atom: -0.264

Cell and atoms, written as POSCAR:
```
CePu5Rh4
1.0
4.4027 0.0000 0.0000
0.0000 6.3483 2.4504
-2.2013 1.1440 7.8359
Rh Pu Ce
4 5 1
Direct
0.9724 0.7626 0.9448
0.0276 0.2374 0.0552
0.6730 0.0792 0.3460
0.3270 0.9208 0.6540
0.8148 0.5785 0.6296
0.1921 0.7795 0.3841
0.5000 0.5000 0.0000
0.1852 0.4215 0.3704
0.8079 0.2205 0.6159
0.5000 0.0000 0.0000
```



(9)
VASP calculation (PBE) on Ce6PuRh after structural relaxation.

D(E_F), states/eV per cell: 14.355
Electronic total energy, eV/atom: -7.366
Total magnetization, μB per atom: 0.000
ΔE_f, eV/atom: -0.205

Cell and atoms, written as POSCAR:
```
Ce6PuRh
1.0
6.2097 -0.1595 -0.1246
-2.4582 5.7046 -0.1246
-0.8055 -1.1907 6.4500
Ce Pu Rh
6 1 1
Direct
0.2526 0.2526 0.7852
0.9519 0.6289 0.7646
0.6289 0.9519 0.7646
0.7474 0.7474 0.2148
0.0481 0.3711 0.2354
0.3711 0.0481 0.2354
0.0000 0.0000 0.0000
0.5000 0.5000 0.5000
```



(10)
VASP calculation (PBE) on Ce3Pu2Rh3 after structural relaxation.

D(E_F), states/eV per cell: 31.404
Electronic total energy, eV/atom: -8.990
Total magnetization, μB per atom: 1.549
ΔE_f, eV/atom: -0.425

Cell and atoms, written as POSCAR:
```
Ce3Pu2Rh3
1.0
-2.7455 3.6804 0.5302
-2.7372 -4.8541 -0.6269
0.1626 -1.9372 14.2909
Ce Rh Pu
6 6 4
Direct
0.6328 0.2656 0.4652
0.3672 0.7344 0.5349
0.6328 0.2656 0.0348
0.3672 0.7344 0.9652
0.5554 0.1107 0.7500
0.4446 0.8893 0.2500
0.0903 0.1807 0.9153
0.9097 0.8193 0.4153
0.9097 0.8193 0.0847
0.2616 0.5233 0.7500
0.0903 0.1807 0.5847
0.7384 0.4767 0.2500
0.8286 0.6571 0.8575
0.1714 0.3429 0.3575
0.1714 0.3429 0.1425
0.8286 0.6571 0.6425
```



(11)
VASP calculation (PBE) on CePu3Rh3 after structural relaxation.

D(E_F), states/eV per cell: 53.755
Electronic total energy, eV/atom: -10.490
Total magnetization, μB per atom: 0.815
ΔE_f, eV/atom: -0.349

Cell and atoms, written as POSCAR:
```
CePu3Rh3
1.0
6.6954 1.2816 0.4429
-1.8355 6.5652 0.4429
-0.1878 -0.3033 6.6469
Pu Rh Ce
6 6 2
Direct
0.7198 0.2802 0.0000
0.2802 0.7198 0.0000
0.6689 0.6689 0.4686
0.3311 0.3311 0.5314
0.1903 0.8097 0.5000
0.8097 0.1903 0.5000
0.9363 0.9363 0.2036
0.0637 0.0637 0.7964
0.5120 0.9780 0.2520
0.0220 0.4880 0.7480
0.4880 0.0220 0.7480
0.9780 0.5120 0.2520
0.7537 0.7537 0.8969
0.2463 0.2463 0.1031
```



(12)
VASP calculation (PBE) on Ce2PuRh9 after structural relaxation.

D(E_F), states/eV per cell: 17.671
ΔE to the lowest computed polymorph, kJ/mol of atoms: 5.9
Electronic total energy, eV/atom: -8.190
Total magnetization, μB per atom: 0.398
ΔE_f, eV/atom: -0.493

Cell and atoms, written as POSCAR:
```
Ce2PuRh9
1.0
-0.9037 -4.2798 -2.9222
2.2431 -0.4739 -4.7346
7.4097 -5.5806 1.1468
Rh Ce Pu
9 2 1
Direct
0.9190 0.4158 0.2494
0.4158 0.9190 0.2494
0.6667 0.6667 0.9999
0.3333 0.3333 0.0001
0.5000 0.5000 0.5000
0.5842 0.5842 0.7506
0.4158 0.4158 0.2494
0.0810 0.5842 0.7506
0.5842 0.0810 0.7506
0.8622 0.8622 0.4135
0.1378 0.1378 0.5865
0.0000 0.0000 0.0000
```



(13)
VASP calculation (PBE) on Ce4PuRh5 after structural relaxation.

D(E_F), states/eV per cell: 19.110
Electronic total energy, eV/atom: -8.102
Total magnetization, μB per atom: 0.550
ΔE_f, eV/atom: -0.620

Cell and atoms, written as POSCAR:
```
Ce4PuRh5
1.0
-3.5959 0.0003 -4.3634
0.2049 -5.7751 -3.8326
-6.2549 -2.5954 1.4911
Ce Rh Pu
4 5 1
Direct
0.4017 0.3989 0.7996
0.2012 0.2004 0.3989
0.8006 0.7996 0.6011
0.6001 0.6011 0.2004
0.5016 0.0000 0.0000
0.7020 0.1990 0.3988
0.9010 0.3988 0.8010
0.1008 0.6012 0.1990
0.2998 0.8010 0.6012
0.0015 0.0000 0.0000
```



(14)
VASP calculation (PBE) on Ce6PuRh2 after structural relaxation.

D(E_F), states/eV per cell: 28.108
Electronic total energy, eV/atom: -7.528
Total magnetization, μB per atom: 0.000
ΔE_f, eV/atom: -0.346

Cell and atoms, written as POSCAR:
```
Ce6PuRh2
1.0
6.3457 0.0000 -0.0036
0.0000 7.3305 0.0000
0.3107 0.0000 9.8806
Rh Ce Pu
4 12 2
Direct
0.4435 0.0963 0.7786
0.9435 0.4037 0.2786
0.5565 0.9037 0.2214
0.0565 0.5963 0.7214
0.3648 0.5386 0.2361
0.8648 0.9614 0.7361
0.3312 0.8452 0.5602
0.3497 0.7998 0.9340
0.8312 0.6548 0.0602
0.1352 0.0386 0.2639
0.1503 0.2998 0.5660
0.6352 0.4614 0.7639
0.6503 0.2002 0.0660
0.8497 0.7002 0.4340
0.1688 0.3452 0.9398
0.6688 0.1548 0.4398
0.0000 0.0000 0.5000
0.5000 0.5000 0.0000
```



(15)
VASP calculation (PBE) on CePu2Rh2 after structural relaxation.

D(E_F), states/eV per cell: 11.598
ΔE to the lowest computed polymorph, kJ/mol of atoms: 0.0
Electronic total energy, eV/atom: -10.224
Total magnetization, μB per atom: 2.145
ΔE_f, eV/atom: -0.363

Cell and atoms, written as POSCAR:
```
CePu2Rh2
1.0
-3.0045 -2.3361 3.0249
-0.1619 -5.5577 -0.5464
1.1726 -0.4965 4.6879
Pu Rh Ce
2 2 1
Direct
0.8133 0.7802 0.5933
0.1867 0.2198 0.4067
0.5924 0.6117 0.2036
0.4076 0.3883 0.7964
0.0000 0.0000 0.0000
```



(16)
VASP calculation (PBE) on Ce8PuRh2 after structural relaxation.

D(E_F), states/eV per cell: 28.590
Electronic total energy, eV/atom: -7.235
Total magnetization, μB per atom: 0.254
ΔE_f, eV/atom: -0.280

Cell and atoms, written as POSCAR:
```
Ce8PuRh2
1.0
6.1322 -0.6568 -0.4983
-0.8614 7.2518 0.0341
-0.8614 1.9855 6.9748
Pu Ce Rh
1 8 2
Direct
0.0000 0.0000 0.0000
0.2362 0.9297 0.3267
0.2362 0.3267 0.9297
0.7638 0.0703 0.6733
0.7638 0.6733 0.0703
0.7526 0.1329 0.1329
0.2474 0.8671 0.8671
0.2031 0.4091 0.4091
0.7969 0.5909 0.5909
0.5807 0.3328 0.3328
0.4193 0.6672 0.6672
```



(17)
VASP calculation (PBE) on CePuSb2Rh5 after structural relaxation.

D(E_F), states/eV per cell: 23.963
Electronic total energy, eV/atom: -7.751
Total magnetization, μB per atom: 0.456
E_form (uncorrected), meV per atom: -499

Cell and atoms, written as POSCAR:
```
CePuSb2Rh5
1.0
-3.1576 -1.1709 2.6567
2.9009 -1.4346 2.8155
0.2659 8.5761 4.0959
Ce Rh Pu Sb
1 5 1 2
Direct
0.0000 0.0000 0.0000
0.0000 0.5000 0.7001
0.0000 0.5000 0.2999
0.5000 0.5000 0.5000
0.5000 0.0000 0.7001
0.5000 0.0000 0.2999
0.0000 0.0000 0.5000
0.5000 0.5000 0.8504
0.5000 0.5000 0.1496
```



(18)
VASP calculation (PBE) on Ce2Pu2Ru3 after structural relaxation.

D(E_F), states/eV per cell: 11.647
Electronic total energy, eV/atom: -9.777
Total magnetization, μB per atom: 0.046
ΔE_f, eV/atom: -0.011

Cell and atoms, written as POSCAR:
```
Ce2Pu2Ru3
1.0
-1.9304 -2.8865 1.9039
4.2201 -2.4096 -1.5766
2.6461 1.6992 6.8588
Ru Ce Pu
3 2 2
Direct
0.2465 0.2543 0.6781
0.0000 0.0000 0.0000
0.7535 0.7457 0.3219
0.7258 0.7684 0.6293
0.2742 0.2316 0.3707
0.7207 0.3830 0.9581
0.2793 0.6170 0.0419
```



(19)
VASP calculation (PBE) on Ce5PuRu6 after structural relaxation.

D(E_F), states/eV per cell: 17.824
ΔE to the lowest computed polymorph, kJ/mol of atoms: 1.1
Electronic total energy, eV/atom: -8.568
Total magnetization, μB per atom: 0.387
ΔE_f, eV/atom: -0.263

Cell and atoms, written as POSCAR:
```
Ce5PuRu6
1.0
5.6423 0.7047 0.0000
2.2207 7.0416 0.0000
1.1103 3.5208 6.6674
Ce Ru Pu
5 6 1
Direct
0.5000 0.8607 0.2787
0.5000 0.1393 0.7213
0.5000 0.5000 0.0000
0.0000 0.6959 0.6082
0.0000 0.3041 0.3918
0.3285 0.5553 0.3405
0.9072 0.7119 0.0000
0.0928 0.2881 0.0000
0.3285 0.8958 0.6595
0.6715 0.4447 0.6595
0.6715 0.1042 0.3405
0.0000 0.0000 0.0000
```



(20)
VASP calculation (PBE) on CePuRu after structural relaxation.

D(E_F), states/eV per cell: 8.089
ΔE to the lowest computed polymorph, kJ/mol of atoms: 0.0
Electronic total energy, eV/atom: -10.034
Total magnetization, μB per atom: 1.685
ΔE_f, eV/atom: -0.187

Cell and atoms, written as POSCAR:
```
CePuRu
1.0
-1.0235 -0.7819 3.2101
-0.1604 -3.3449 -0.8658
5.4939 1.4617 0.2442
Pu Ce Ru
1 1 1
Direct
0.3267 0.3267 0.6534
0.0034 0.0034 0.0068
0.6699 0.6699 0.3398
```



(21)
VASP calculation (PBE) on CePu5Ru6 after structural relaxation.

D(E_F), states/eV per cell: 36.990
Electronic total energy, eV/atom: -11.206
Total magnetization, μB per atom: 0.323
ΔE_f, eV/atom: -0.102

Cell and atoms, written as POSCAR:
```
CePu5Ru6
1.0
-5.7069 -0.4813 -6.2788
-4.6504 -0.8509 0.6634
-3.4999 6.4097 0.8754
Ru Ce Pu
6 1 5
Direct
0.2744 0.2255 0.0000
0.7256 0.7745 0.0000
0.7664 0.0645 0.3388
0.2336 0.9355 0.6612
0.2336 0.5971 0.3388
0.7664 0.4029 0.6612
0.0000 0.0000 0.0000
0.0000 0.6610 0.6777
0.5000 0.5000 0.0000
0.5000 0.1700 0.6595
0.0000 0.3390 0.3223
0.5000 0.8300 0.3405
```



(22)
VASP calculation (PBE) on Ce8PuRu6 after structural relaxation.

D(E_F), states/eV per cell: 26.184
Electronic total energy, eV/atom: -8.084
Total magnetization, μB per atom: 0.394
ΔE_f, eV/atom: -0.253

Cell and atoms, written as POSCAR:
```
Ce8PuRu6
1.0
7.6536 0.0000 0.0000
3.8268 6.6282 0.0000
3.8268 2.2094 6.6061
Ce Ru Pu
8 6 1
Direct
0.7960 0.1350 0.6242
0.1350 0.4448 0.6242
0.3298 0.3298 0.0107
0.6702 0.6702 0.9893
0.2040 0.8650 0.3758
0.4448 0.7960 0.6242
0.5552 0.2040 0.3758
0.8650 0.5552 0.3758
0.7153 0.3766 0.8602
0.3766 0.0480 0.8602
0.2847 0.6234 0.1398
0.9520 0.2847 0.1398
0.0480 0.7153 0.8602
0.6234 0.9520 0.1398
0.0000 0.0000 0.0000
```



(23)
VASP calculation (PBE) on CePu2Ru after structural relaxation.

D(E_F), states/eV per cell: 12.666
ΔE to the lowest computed polymorph, kJ/mol of atoms: 2.5
Electronic total energy, eV/atom: -11.018
Total magnetization, μB per atom: 2.473
ΔE_f, eV/atom: -0.049

Cell and atoms, written as POSCAR:
```
CePu2Ru
1.0
-1.6334 2.0718 2.2362
-2.3547 -2.4687 0.5673
4.0773 -2.6420 5.4258
Ru Pu Ce
1 2 1
Direct
0.5000 0.5000 0.0000
0.0000 0.0000 0.7834
0.0000 0.0000 0.2166
0.5000 0.5000 0.5000
```